No. 1
The following is a PBE-GGA calculation of a geometry-optimized MgAs2Br structure, from Alexandria.

The uncorrected formation energy comes out at 0.205 eV/atom. As for the offset from the most stable computed form: 2.70 eV/f.u. As for the density: 4.936 g/cm³.

Structure (CIF):
```
data_MgAs2Br
_space_group_name_H-M_alt 'P 4/m m m'
_space_group_IT_number 123
_space_group_name_Hall '-P 4 2'
_cell_length_a 5.197
_cell_length_b 5.197
_cell_length_c 3.164
_cell_angle_alpha 90.00
_cell_angle_beta 90.00
_cell_angle_gamma 90.00
loop_
_atom_site_label
_atom_site_type_symbol
_atom_site_fract_x
_atom_site_fract_y
_atom_site_fract_z
Mg1 Mg 0.000 0.000 0.000
As1 As 0.000 0.500 0.500
Br1 Br 0.500 0.500 0.000
```

***

No. 2
The following is a PBE-GGA calculation of a geometry-optimized MgAsBr2 structure, from Alexandria.

The uncorrected formation energy comes out at -0.212 eV/atom. As for the offset from the most stable computed form: 1.35 eV/f.u. As for the density: 4.462 g/cm³.

Structure (CIF):
```
data_MgAsBr2
_space_group_name_H-M_alt 'P m m m'
_space_group_IT_number 47
_space_group_name_Hall '-P 2 2'
_cell_length_a 3.490
_cell_length_b 4.463
_cell_length_c 6.188
_cell_angle_alpha 90.00
_cell_angle_beta 90.00
_cell_angle_gamma 90.00
loop_
_atom_site_label
_atom_site_type_symbol
_atom_site_fract_x
_atom_site_fract_y
_atom_site_fract_z
Mg1 Mg 0.000 0.000 0.000
As1 As 0.500 0.000 0.500
Br1 Br 0.000 0.500 0.500
Br2 Br 0.500 0.500 0.000
```

***

No. 3
The following is a PBE-GGA calculation of a geometry-optimized Mg2AsBr structure, from Alexandria.

The uncorrected formation energy comes out at -0.798 eV/atom. As for the offset from the most stable computed form: 0.20 eV/f.u. As for the density: 2.872 g/cm³.

Structure (CIF):
```
data_Mg2AsBr
_space_group_name_H-M_alt 'I -4 2 d'
_space_group_IT_number 122
_space_group_name_Hall 'I -4 2bw'
_cell_length_a 6.090
_cell_length_b 6.090
_cell_length_c 12.685
_cell_angle_alpha 90.00
_cell_angle_beta 90.00
_cell_angle_gamma 90.00
loop_
_atom_site_label
_atom_site_type_symbol
_atom_site_fract_x
_atom_site_fract_y
_atom_site_fract_z
Mg1 Mg 0.206 0.250 0.125
As1 As 0.000 0.000 0.000
Br1 Br 0.000 0.000 0.500
```

***

No. 4
The following is a PBE-GGA calculation of a geometry-optimized Mg2AsBr structure, from Alexandria.

The uncorrected formation energy comes out at -0.724 eV/atom. As for the offset from the most stable computed form: 0.50 eV/f.u. As for the density: 3.790 g/cm³.

Structure (CIF):
```
data_Mg2AsBr
_space_group_name_H-M_alt 'P 4/m m m'
_space_group_IT_number 123
_space_group_name_Hall '-P 4 2'
_cell_length_a 4.054
_cell_length_b 4.054
_cell_length_c 5.422
_cell_angle_alpha 90.00
_cell_angle_beta 90.00
_cell_angle_gamma 90.00
loop_
_atom_site_label
_atom_site_type_symbol
_atom_site_fract_x
_atom_site_fract_y
_atom_site_fract_z
Mg1 Mg 0.000 0.000 0.000
Mg2 Mg 0.500 0.500 0.500
As1 As 0.000 0.000 0.500
Br1 Br 0.500 0.500 0.000
```

***

No. 5
The following is a PBE-GGA calculation of a geometry-optimized Mg2AsBr structure, from Alexandria.

The uncorrected formation energy comes out at -0.616 eV/atom. As for the offset from the most stable computed form: 0.93 eV/f.u. As for the density: 3.606 g/cm³.

Structure (CIF):
```
data_Mg2AsBr
_space_group_name_H-M_alt 'P m m m'
_space_group_IT_number 47
_space_group_name_Hall '-P 2 2'
_cell_length_a 3.498
_cell_length_b 3.718
_cell_length_c 7.203
_cell_angle_alpha 90.00
_cell_angle_beta 90.00
_cell_angle_gamma 90.00
loop_
_atom_site_label
_atom_site_type_symbol
_atom_site_fract_x
_atom_site_fract_y
_atom_site_fract_z
Mg1 Mg 0.000 0.000 0.195
As1 As 0.500 0.500 0.000
Br1 Br 0.500 0.000 0.500
```

***

No. 6
The following is a PBE-GGA calculation of a geometry-optimized MgAs2Br structure, from Alexandria.

The uncorrected formation energy comes out at -0.469 eV/atom. As for the offset from the most stable computed form: 0.00 eV/f.u. As for the density: 3.553 g/cm³.

Structure (CIF):
```
data_MgAs2Br
_space_group_name_H-M_alt 'R 3 m'
_space_group_IT_number 160
_space_group_name_Hall 'R 3 -2"'
_cell_length_a 3.8920
_cell_length_b 3.8920
_cell_length_c 27.1505
_cell_angle_alpha 90.00
_cell_angle_beta 90.00
_cell_angle_gamma 120.00
loop_
_atom_site_label
_atom_site_type_symbol
_atom_site_fract_x
_atom_site_fract_y
_atom_site_fract_z
Mg1 Mg 0.0000 0.0000 0.0000
As1 As 0.0000 0.0000 0.2647
As2 As 0.0000 0.0000 0.5533
Br1 Br 0.0000 0.0000 0.7208
```

***

No. 7
The following is a PBE-GGA calculation of a geometry-optimized MgAsBr2 structure, from Alexandria.

The uncorrected formation energy comes out at -0.512 eV/atom. As for the offset from the most stable computed form: 0.15 eV/f.u. As for the density: 3.315 g/cm³.

Structure (CIF):
```
data_MgAsBr2
_space_group_name_H-M_alt 'I m m 2'
_space_group_IT_number 44
_space_group_name_Hall 'I 2 -2'
_cell_length_a 3.503
_cell_length_b 5.089
_cell_length_c 14.556
_cell_angle_alpha 90.00
_cell_angle_beta 90.00
_cell_angle_gamma 90.00
loop_
_atom_site_label
_atom_site_type_symbol
_atom_site_fract_x
_atom_site_fract_y
_atom_site_fract_z
Mg1 Mg 0.000 0.000 0.000
As1 As 0.000 0.500 0.349
Br1 Br 0.000 0.000 0.410
Br2 Br 0.000 0.500 0.625
```

***

No. 8
The following is a PBE-GGA calculation of a geometry-optimized MgAs2Br structure, from Alexandria.

The uncorrected formation energy comes out at 0.124 eV/atom. As for the offset from the most stable computed form: 2.37 eV/f.u. As for the density: 4.374 g/cm³.

Structure (CIF):
```
data_MgAs2Br
_space_group_name_H-M_alt 'C m m m'
_space_group_IT_number 65
_space_group_name_Hall '-C 2 2'
_cell_length_a 5.084
_cell_length_b 11.935
_cell_length_c 3.179
_cell_angle_alpha 90.00
_cell_angle_beta 90.00
_cell_angle_gamma 90.00
loop_
_atom_site_label
_atom_site_type_symbol
_atom_site_fract_x
_atom_site_fract_y
_atom_site_fract_z
Mg1 Mg 0.000 0.000 0.000
As1 As 0.250 0.250 0.500
Br1 Br 0.000 0.500 0.000
```

***

No. 9
The following is a PBE-GGA calculation of a geometry-optimized Mg2AsBr structure, from Alexandria.

The uncorrected formation energy comes out at -0.288 eV/atom. As for the offset from the most stable computed form: 2.24 eV/f.u. As for the density: 3.238 g/cm³.

Structure (CIF):
```
data_Mg2AsBr
_space_group_name_H-M_alt 'P 4 m m'
_space_group_IT_number 99
_space_group_name_Hall 'P 4 -2'
_cell_length_a 3.296
_cell_length_b 3.296
_cell_length_c 9.604
_cell_angle_alpha 90.00
_cell_angle_beta 90.00
_cell_angle_gamma 90.00
loop_
_atom_site_label
_atom_site_type_symbol
_atom_site_fract_x
_atom_site_fract_y
_atom_site_fract_z
Mg1 Mg 0.000 0.000 0.000
Mg2 Mg 0.500 0.500 0.271
As1 As 0.000 0.000 0.436
Br1 Br 0.500 0.500 0.840
```

***

No. 10
The following is a PBE-GGA calculation of a geometry-optimized Mg2AsBr structure, from Alexandria.

The uncorrected formation energy comes out at -0.459 eV/atom. As for the offset from the most stable computed form: 1.56 eV/f.u. As for the density: 3.767 g/cm³.

Structure (CIF):
```
data_Mg2AsBr
_space_group_name_H-M_alt 'P 4/m m m'
_space_group_IT_number 123
_space_group_name_Hall '-P 4 2'
_cell_length_a 3.495
_cell_length_b 3.495
_cell_length_c 7.340
_cell_angle_alpha 90.00
_cell_angle_beta 90.00
_cell_angle_gamma 90.00
loop_
_atom_site_label
_atom_site_type_symbol
_atom_site_fract_x
_atom_site_fract_y
_atom_site_fract_z
Mg1 Mg 0.000 0.000 0.204
As1 As 0.500 0.500 0.000
Br1 Br 0.500 0.500 0.500
```

***

No. 11
The following is a PBE-GGA calculation of a geometry-optimized MgAsBr2 structure, from Alexandria.

The uncorrected formation energy comes out at -0.314 eV/atom. As for the offset from the most stable computed form: 0.94 eV/f.u. As for the density: 4.201 g/cm³.

Structure (CIF):
```
data_MgAsBr2
_space_group_name_H-M_alt 'C m m 2'
_space_group_IT_number 35
_space_group_name_Hall 'C 2 -2'
_cell_length_a 4.838
_cell_length_b 4.854
_cell_length_c 8.720
_cell_angle_alpha 90.00
_cell_angle_beta 90.00
_cell_angle_gamma 90.00
loop_
_atom_site_label
_atom_site_type_symbol
_atom_site_fract_x
_atom_site_fract_y
_atom_site_fract_z
Mg1 Mg 0.000 0.000 0.000
As1 As 0.000 0.500 0.797
Br1 Br 0.000 0.000 0.591
Br2 Br 0.000 0.500 0.175
```

***

No. 12
The following is a PBE-GGA calculation of a geometry-optimized Mg2AsBr structure, from Alexandria.

The uncorrected formation energy comes out at -0.621 eV/atom. As for the offset from the most stable computed form: 0.91 eV/f.u. As for the density: 3.378 g/cm³.

Structure (CIF):
```
data_Mg2AsBr
_space_group_name_H-M_alt 'I m m 2'
_space_group_IT_number 44
_space_group_name_Hall 'I 2 -2'
_cell_length_a 3.646
_cell_length_b 3.851
_cell_length_c 14.242
_cell_angle_alpha 90.00
_cell_angle_beta 90.00
_cell_angle_gamma 90.00
loop_
_atom_site_label
_atom_site_type_symbol
_atom_site_fract_x
_atom_site_fract_y
_atom_site_fract_z
Mg1 Mg 0.000 0.000 0.000
Mg2 Mg 0.000 0.500 0.182
As1 As 0.000 0.500 0.637
Br1 Br 0.000 0.000 0.396
```

***

Question: Which of these has the lowest density?
Answer: number 3

***

Question: The lowest density belongs to which entry?
Answer: number 3

***

Question: What is the formula in the twelfth record?
Answer: Mg2AsBr

***

Question: What is the formula in the sixth record?
Answer: MgAs2Br